1.
The following is a DFT calculation (PBE) of a geometry-optimized KAl2PSe structure.

As for the uncorrected formation energy: 1.46 eV/atom. As for the total DFT energy (no corrections): -10.166 eV per cell. As for the total moment: 2.0 μB/f.u.

It has space group P4/mmm (No. 123), with a = 6.066 Å, b = 6.066 Å, c = 5.508 Å, α = 90.00°, β = 90.00° and γ = 90.00°. Symmetry generates all atoms from K at (0.000, 0.000, 0.000), Al at (0.000, 0.500, 0.000), P at (0.500, 0.500, 0.500) and Se at (0.000, 0.000, 0.500).

2.
The following is a DFT calculation (PBE) of a geometry-optimized K2YAlP structure.

As for the total DFT energy (no corrections): -17.153 eV per cell. The formation energy comes out at 12.7 kJ/mol of atoms. As for the total moment: 1.1 μB/f.u.

It has space group P4/mmm (No. 123), with a = 6.118 Å, b = 6.118 Å, c = 5.335 Å, α = 90.00°, β = 90.00° and γ = 90.00°. Symmetry generates all atoms from K at (0.000, 0.500, 0.000), Y at (0.000, 0.000, 0.500), Al at (0.500, 0.500, 0.500) and P at (0.000, 0.000, 0.000).

3.
The following is a DFT calculation (PBE) of a geometry-optimized KPa2AlS8 structure.

As for the uncorrected formation energy: -1.03 eV/atom. As for the total DFT energy (no corrections): -69.258 eV per cell. As for the total moment: 0.0 μB/f.u.

It has space group P2/m (No. 10), with a = 6.151 Å, b = 8.412 Å, c = 6.169 Å, α = 90.00°, β = 94.55° and γ = 90.00°. Symmetry generates all atoms from K at (0.000, 0.000, 0.000), Pa at (0.500, 0.250, 0.500), Al at (0.000, 0.500, 0.000), S at (0.210, 0.302, 0.183), S at (0.296, 0.500, 0.687) and S at (0.303, 0.000, 0.648).

4.
The following is a DFT calculation (PBE) of a geometry-optimized KPaAl2S6 structure.

As for the uncorrected formation energy: -1.25 eV/atom. As for the total DFT energy (no corrections): -221.234 eV per cell. As for the total moment: 0.0 μB/f.u.

It has space group C2/c (No. 15), with a = 13.228 Å, b = 12.524 Å, c = 7.189 Å, α = 90.00°, β = 110.12° and γ = 90.00°. Symmetry generates all atoms from K at (0.000, 0.081, 0.250), Pa at (0.000, 0.282, 0.750), Al at (0.203, 0.420, 0.125), S at (0.088, 0.290, 0.127), S at (0.127, 0.125, 0.706) and S at (0.161, 0.435, 0.787).

5.
The following is a DFT calculation (PBE) of a geometry-optimized KPaAlS4 structure.

As for the uncorrected formation energy: -1.23 eV/atom. As for the total DFT energy (no corrections): -157.759 eV per cell. As for the total moment: 1.0 μB/f.u.

It has space group Imma (No. 74), with a = 7.427 Å, b = 8.591 Å, c = 11.319 Å, α = 90.00°, β = 90.00° and γ = 90.00°. Symmetry generates all atoms from K at (0.000, 0.250, 0.165), Pa at (0.000, 0.000, 0.500), Al at (0.250, 0.250, 0.750), S at (0.000, 0.064, 0.741) and S at (0.229, 0.250, 0.522).

6.
The following is a DFT calculation (PBE) of a geometry-optimized K2PaAlSe5 structure.

As for the uncorrected formation energy: -1.22 eV/atom. As for the total DFT energy (no corrections): -175.523 eV per cell. As for the total moment: 0.1 μB/f.u.

It has space group Cmc2_1 (No. 36), with a = 4.191 Å, b = 19.324 Å, c = 14.422 Å, α = 90.00°, β = 90.00° and γ = 90.00°. Symmetry generates all atoms from K at (0.000, 0.106, 0.000), K at (0.000, 0.118, 0.656), Pa at (0.000, 0.209, 0.356), Al at (0.000, 0.432, 0.746), Se at (0.000, 0.058, 0.347), Se at (0.000, 0.296, 0.983), Se at (0.000, 0.305, 0.720), Se at (0.000, 0.342, 0.333) and Se at (0.000, 0.493, 0.612).

7.
The following is a DFT calculation (PBE) of a geometry-optimized KAl2Pb structure.

As for the total DFT energy (no corrections): -44.671 eV per cell. The formation energy comes out at 27.1 kJ/mol of atoms. As for the total moment: 0.0 μB/f.u.

It has space group I-42d (No. 122), with a = 5.308 Å, b = 5.308 Å, c = 20.117 Å, α = 90.00°, β = 90.00° and γ = 90.00°. Symmetry generates all atoms from K at (0.000, 0.000, 0.000), Al at (0.001, 0.750, 0.625) and Pb at (0.000, 0.000, 0.500).

8.
The following is a DFT calculation (PBE) of a geometry-optimized KAl2Pb structure.

As for the total DFT energy (no corrections): -21.906 eV per cell. The formation energy comes out at 32.3 kJ/mol of atoms. As for the total moment: 0.0 μB/f.u.

It has space group I4/mmm (No. 139), with a = 4.846 Å, b = 4.846 Å, c = 9.183 Å, α = 90.00°, β = 90.00° and γ = 90.00°. Symmetry generates all atoms from K at (0.000, 0.000, 0.000), Al at (0.000, 0.500, 0.250) and Pb at (0.000, 0.000, 0.500).

9.
The following is a DFT calculation (PBE) of a geometry-optimized K2AlPb structure.

As for the relative energy among the computed polymorphs: 0.86 eV/f.u. As for the total DFT energy (no corrections): -17.483 eV per cell. The formation energy comes out at 21.8 kJ/mol of atoms. As for the total moment: 0.0 μB/f.u.

It has space group C2/m (No. 12), with a = 6.407 Å, b = 11.439 Å, c = 3.702 Å, α = 90.00°, β = 90.12° and γ = 90.00°. Symmetry generates all atoms from K at (0.250, 0.250, 0.000), Al at (0.000, 0.000, 0.500) and Pb at (0.000, 0.500, 0.500).

10.
The following is a DFT calculation (PBE) of a geometry-optimized KAlPb2 structure.

As for the total DFT energy (no corrections): -22.931 eV per cell. The formation energy comes out at 19.1 kJ/mol of atoms. As for the total moment: 0.0 μB/f.u.

It has space group Cmmm (No. 65), with a = 6.929 Å, b = 10.064 Å, c = 3.426 Å, α = 90.00°, β = 90.00° and γ = 90.00°. Symmetry generates all atoms from K at (0.000, 0.000, 0.000), Al at (0.000, 0.500, 0.000) and Pb at (0.250, 0.250, 0.500).

11.
The following is a DFT calculation (PBE) of a geometry-optimized KAl2Pb structure.

As for the total DFT energy (no corrections): -10.879 eV per cell. The formation energy comes out at 34.1 kJ/mol of atoms. As for the total moment: 0.0 μB/f.u.

It has space group P4/mmm (No. 123), with a = 4.688 Å, b = 4.688 Å, c = 4.807 Å, α = 90.00°, β = 90.00° and γ = 90.00°. Symmetry generates all atoms from K at (0.000, 0.000, 0.000), Al at (0.000, 0.500, 0.500) and Pb at (0.500, 0.500, 0.000).

12.
The following is a DFT calculation (PBE) of a geometry-optimized KAl2Pb structure.

As for the total DFT energy (no corrections): -11.283 eV per cell. The formation energy comes out at 24.3 kJ/mol of atoms. As for the total moment: 0.0 μB/f.u.

It has space group P2/m (No. 10), with a = 3.215 Å, b = 5.045 Å, c = 7.357 Å, α = 90.00°, β = 101.93° and γ = 90.00°. Symmetry generates all atoms from K at (0.000, 0.000, 0.000), Al at (0.297, 0.500, 0.679) and Pb at (0.500, 0.000, 0.500).